VASP calculation (PBE-GGA) on a geometry-optimized ZnTe2O5 structure. Values from VASP.

Output
ΔE_f (raw)   -868 kJ/mol of formula units
Energy above the lowest structure with this stoichiometry   5 meV per atom
Raw total energy   -5.17 eV per atom

Geometry as Quantum ESPRESSO input:
```
&SYSTEM
  ibrav = 0, nat = 32, ntyp = 3
/
ATOMIC_SPECIES
Zn 65.41 Zn.upf
Te 127.60 Te.upf
O 16.00 O.upf
ATOMIC_POSITIONS angstrom
Zn 0.000 0.644 1.515
Zn 0.000 10.287 4.545
Zn 3.692 4.822 4.545
Zn 3.692 6.109 1.515
Te 1.002 3.788 0.062
Te 1.002 7.144 3.092
Te 2.690 1.678 3.092
Te 2.690 9.253 0.062
Te 4.693 1.678 5.997
Te 4.693 9.253 2.968
Te 6.382 3.788 2.968
Te 6.382 7.144 5.997
O 0.000 4.807 1.515
O 0.000 6.124 4.545
O 1.087 0.697 3.305
O 1.087 10.235 0.275
O 1.446 2.286 1.141
O 1.446 8.646 4.170
O 2.246 3.180 4.170
O 2.246 7.751 1.141
O 2.604 4.769 0.275
O 2.604 6.162 3.305
O 3.692 0.659 4.545
O 3.692 10.273 1.515
O 4.779 4.769 2.754
O 4.779 6.162 5.784
O 5.138 3.180 4.919
O 5.138 7.751 1.889
O 5.937 2.286 1.889
O 5.937 8.646 4.919
O 6.296 0.697 5.784
O 6.296 10.235 2.754
CELL_PARAMETERS angstrom
7.383 0.000 0.000
0.000 10.931 0.000
0.000 0.000 6.059
```